# 1
Below is crystalline Dy2ErPaS4 at its relaxed geometry, with properties calculated at the PBE-GGA level.

Lattice parameters (Å, degrees): 3.861 6.763 6.743 109.01 90.00 90.00
Fractional positions:
Dy 0.500 0.000 0.500
Dy 0.000 0.500 0.500
Er 0.000 0.000 0.000
Pa 0.500 0.500 0.000
S 0.500 0.247 0.248
S 0.500 0.753 0.752
S 0.000 0.246 0.749
S 0.000 0.754 0.251

The crystal system is monoclinic. As for the density: 8494 kg/m³. For the total magnetization, the calculation gives 0.0 μB per formula unit. Its space-group type is P2/m (10). Its total energy is -6.840 eV per atom. As for the formation energy (no corrections): -180 kJ/mol of atoms.

=====

# 2
Below is crystalline Dy2ErPaSb4 at its relaxed geometry, with properties calculated at the PBE-GGA level.

Lattice parameters (Å, degrees): 4.370 7.565 7.574 109.38 90.00 90.00
Fractional positions:
Dy 0.500 0.000 0.500
Dy 0.000 0.500 0.500
Er 0.000 0.000 0.000
Pa 0.500 0.500 0.000
Sb 0.500 0.249 0.248
Sb 0.500 0.751 0.752
Sb 0.000 0.249 0.750
Sb 0.000 0.751 0.250

The crystal system is monoclinic. As for the density: 8508 kg/m³. For the total magnetization, the calculation gives 0.9 μB per formula unit. Its space-group type is P2/m (10). Its total energy is -5.917 eV per atom. As for the formation energy (no corrections): -91 kJ/mol of atoms.

=====

# 3
Below is crystalline DyEr2PaSb4 at its relaxed geometry, with properties calculated at the PBE-GGA level.

Lattice parameters (Å, degrees): 4.363 7.559 7.550 109.38 90.00 90.00
Fractional positions:
Dy 0.500 0.500 0.000
Er 0.500 0.000 0.500
Er 0.000 0.500 0.500
Pa 0.000 0.000 0.000
Sb 0.500 0.251 0.253
Sb 0.500 0.749 0.747
Sb 0.000 0.249 0.748
Sb 0.000 0.751 0.252

The crystal system is monoclinic. As for the density: 8590 kg/m³. For the total magnetization, the calculation gives 0.9 μB per formula unit. Its space-group type is P2/m (10). Its total energy is -5.901 eV per atom. As for the formation energy (no corrections): -90 kJ/mol of atoms.

=====

# 4
Below is crystalline DyErScPa at its relaxed geometry, with properties calculated at the PBE-GGA level.

Lattice parameters (Å, degrees): 5.409 5.409 5.409 60.00 60.00 60.00
Fractional positions:
Sc 0.000 0.000 0.000
Pa 0.250 0.250 0.250
Dy 0.500 0.500 0.500
Er 0.750 0.750 0.750

The calculation puts the formation enthalpy at 0 K at 0.296 eV/atom. The crystal system is cubic. As for the density: 8989 kg/m³. For the total magnetization, the calculation gives 0.0 μB per formula unit. Its space-group type is F-43m (216). Its total energy is -5.952 eV per atom.

=====

# 5
Below is crystalline DyEr2PaSe4 at its relaxed geometry, with properties calculated at the PBE-GGA level.

Lattice parameters (Å, degrees): 3.997 7.076 7.024 71.28 90.00 90.00
Fractional positions:
Dy 0.500 0.500 0.000
Er 0.000 0.000 0.000
Er 0.500 0.000 0.500
Pa 0.000 0.500 0.500
Se 0.000 0.755 0.750
Se 0.000 0.245 0.250
Se 0.500 0.757 0.246
Se 0.500 0.243 0.754

The crystal system is monoclinic. As for the density: 9213 kg/m³. For the total magnetization, the calculation gives 0.3 μB per formula unit. Its space-group type is P2/m (10). Its total energy is -6.214 eV per atom. As for the formation energy (no corrections): -151 kJ/mol of atoms.

=====

# 6
Below is crystalline Dy2ErPaTc2 at its relaxed geometry, with properties calculated at the PBE-GGA level.

Lattice parameters (Å, degrees): 6.578 6.597 8.396 113.13 113.06 90.00
Fractional positions:
Dy 0.689 0.933 0.379
Dy 0.189 0.446 0.379
Dy 0.811 0.554 0.621
Dy 0.311 0.067 0.621
Er 0.250 0.000 0.000
Er 0.750 0.000 0.000
Pa 0.750 0.500 0.000
Pa 0.250 0.500 0.000
Tc 0.393 0.596 0.786
Tc 0.607 0.404 0.214
Tc 0.107 0.810 0.214
Tc 0.893 0.190 0.786

The calculation puts the formation enthalpy at 0 K at -0.063 eV/atom. The crystal system is orthorhombic. As for the density: 10071 kg/m³. For the total magnetization, the calculation gives 0.0 μB per formula unit. Its space-group type is Ibam (72). Its total energy is -7.396 eV per atom.

=====

# 7
Below is crystalline DyErThPa at its relaxed geometry, with properties calculated at the PBE-GGA level.

Lattice parameters (Å, degrees): 5.535 5.535 5.535 60.00 60.00 60.00
Fractional positions:
Pa 0.000 0.000 0.000
Dy 0.500 0.500 0.500
Th 0.750 0.750 0.750
Er 0.250 0.250 0.250

The calculation puts the formation enthalpy at 0 K at 0.356 eV/atom. The crystal system is cubic. As for the density: 10982 kg/m³. For the total magnetization, the calculation gives 1.5 μB per formula unit. Its space-group type is F-43m (216). Its total energy is -6.164 eV per atom.

=====

# 8
Below is crystalline Dy8Er2Pb at its relaxed geometry, with properties calculated at the PBE-GGA level.

Lattice parameters (Å, degrees): 5.542 6.421 10.082 85.06 105.95 90.00
Fractional positions:
Dy 0.421 0.597 0.842
Dy 0.664 0.877 0.327
Dy 0.845 0.801 0.690
Dy 0.955 0.270 0.910
Dy 0.155 0.199 0.310
Dy 0.336 0.123 0.673
Dy 0.579 0.403 0.158
Dy 0.045 0.730 0.090
Er 0.756 0.338 0.513
Er 0.244 0.662 0.487
Pb 0.500 0.000 0.000

The calculation puts the formation enthalpy at 0 K at -0.053 eV/atom. The crystal system is monoclinic. As for the density: 8902 kg/m³. For the total magnetization, the calculation gives 0.0 μB per formula unit. Its space-group type is C2/m (12). Its total energy is -4.567 eV per atom.

=====

# 9
Below is crystalline Dy3Er4Pb4 at its relaxed geometry, with properties calculated at the PBE-GGA level.

Lattice parameters (Å, degrees): 4.127 9.380 10.020 117.91 101.89 90.00
Fractional positions:
Dy 0.107 0.107 0.215
Dy 0.893 0.893 0.785
Dy 0.000 0.500 0.000
Er 0.330 0.137 0.661
Er 0.670 0.476 0.339
Er 0.670 0.863 0.339
Er 0.330 0.524 0.661
Pb 0.253 0.753 0.507
Pb 0.747 0.247 0.493
Pb 0.500 0.790 0.000
Pb 0.500 0.210 0.000

The calculation puts the formation enthalpy at 0 K at -0.321 eV/atom. The crystal system is orthorhombic. As for the density: 9890 kg/m³. For the total magnetization, the calculation gives 2.4 μB per formula unit. Its space-group type is Immm (71). Its total energy is -4.583 eV per atom.

=====

# 10
Below is crystalline Dy3Er2Pb2 at its relaxed geometry, with properties calculated at the PBE-GGA level.

Lattice parameters (Å, degrees): 3.499 8.019 8.901 120.28 101.34 90.00
Fractional positions:
Dy 0.000 0.500 0.000
Dy 0.215 0.789 0.431
Dy 0.785 0.211 0.569
Er 0.866 0.703 0.733
Er 0.134 0.297 0.267
Pb 0.573 0.896 0.146
Pb 0.427 0.104 0.854

The calculation puts the formation enthalpy at 0 K at -0.122 eV/atom. The crystal system is monoclinic. As for the density: 9777 kg/m³. For the total magnetization, the calculation gives 0.4 μB per formula unit. Its space-group type is C2/m (12). Its total energy is -4.458 eV per atom.

=====

# 11
Below is crystalline DyErPb2 at its relaxed geometry, with properties calculated at the PBE-GGA level.

Lattice parameters (Å, degrees): 4.481 4.439 6.233 90.00 111.03 90.00
Fractional positions:
Dy 0.711 0.000 0.962
Er 0.455 0.500 0.447
Pb 0.184 0.500 0.909
Pb 0.982 0.000 0.500

The calculation puts the formation enthalpy at 0 K at -0.454 eV/atom. The crystal system is monoclinic. As for the density: 10677 kg/m³. For the total magnetization, the calculation gives 0.0 μB per formula unit. Its space-group type is Pm (6). Its total energy is -4.600 eV per atom.

=====

# 12
Below is crystalline DyErPb6 at its relaxed geometry, with properties calculated at the PBE-GGA level.

Lattice parameters (Å, degrees): 4.872 4.872 9.751 90.00 90.00 90.00
Fractional positions:
Dy 0.000 0.000 0.500
Er 0.000 0.000 0.000
Pb 0.500 0.500 0.000
Pb 0.500 0.500 0.500
Pb 0.500 0.000 0.249
Pb 0.500 0.000 0.751
Pb 0.000 0.500 0.249
Pb 0.000 0.500 0.751

The calculation puts the formation enthalpy at 0 K at -0.257 eV/atom. The crystal system is tetragonal. As for the density: 11286 kg/m³. For the total magnetization, the calculation gives 0.0 μB per formula unit. Its space-group type is P4/mmm (123). Its total energy is -4.184 eV per atom.